# Ce2ErGa

Crystalline Ce2ErGa at its relaxed geometry (PBE, Alexandria via LeMat-Bulk).

a b c (Å): 4.2626 4.3528 11.1020
angles (deg): 100.44 90.00 90.00
Closest atoms and distances in Å follow each position.
Element x y z (fractional)
Ce: 0.7500 0.3946 0.8733  2 Ce 2.78, 1 Ga 3.05
Ce: 0.2500 0.9854 0.8770  2 Ce 2.78
Er: 0.7500 0.6984 0.3988  5 Ga 2.94-3.16
Er: 0.2500 0.3016 0.6012  5 Ga 2.94-3.16
Ga: 0.7500 0.8229 0.6685  5 Er 2.94-3.16, 4 Ce 3.05-3.19
Ce: 0.2500 0.6054 0.1267  2 Ce 2.78, 1 Ga 3.05
Ga: 0.2500 0.1771 0.3315  5 Er 2.94-3.16, 4 Ce 3.05-3.19
Ce: 0.7500 0.0146 0.1230  2 Ce 2.78

Summary:
M_tot, μB per cell: 0.000
DFT total energy, eV for the cell shown: -41.19
Calculated density, g cm⁻³: 8.48
Space group: P2_1/m (11)
Calculated volume, Å³ per atom: 25.3
Polymorph energy (0 for the lowest one), meV/atom: 0

---

# NaIn8Bi2

Crystalline NaIn8Bi2 at its relaxed geometry (PBE, Alexandria via LeMat-Bulk).

a b c (Å): 4.8380 7.6740 9.0447
angles (deg): 105.42 105.51 90.00
Closest atoms and distances in Å follow each position.
Element x y z (fractional)
Na: 0.5000 0.0000 0.0000  12 In 3.32-3.44
In: 0.3212 0.0951 0.6423  3 Bi 3.38-3.48, 1 Na 3.39, 8 In 3.40-3.48
In: 0.5884 0.4420 0.1768  1 Na 3.32, 8 In 3.33-3.47, 3 Bi 3.38-3.56
In: 0.0428 0.7222 0.0857  1 Bi 3.32, 9 In 3.32-3.47, 2 Na 3.44
In: 0.6788 0.9049 0.3577  3 Bi 3.38-3.48, 1 Na 3.39, 8 In 3.40-3.48
In: 0.8608 0.8211 0.7215  3 Bi 3.40-3.46, 7 In 3.40-3.46, 2 Na 3.43
In: 0.4116 0.5580 0.8232  1 Na 3.32, 8 In 3.33-3.47, 3 Bi 3.38-3.56
In: 0.1393 0.1789 0.2785  3 Bi 3.40-3.46, 7 In 3.40-3.46, 2 Na 3.43
Bi: 0.7805 0.3642 0.5610  10 In 3.32-3.56, 2 Bi 3.54
In: 0.9572 0.2778 0.9143  1 Bi 3.32, 9 In 3.32-3.47, 2 Na 3.44
Bi: 0.2195 0.6358 0.4390  10 In 3.32-3.56, 2 Bi 3.54

Summary:
M_tot, μB per cell: 0.000
DFT total energy, eV for the cell shown: -31.15
Calculated density, g cm⁻³: 7.26
Space group: C2/m (12)
Calculated volume, Å³ per atom: 28.3
Polymorph energy (0 for the lowest one), meV/atom: 0

---

# KMoAs2

Crystalline KMoAs2 at its relaxed geometry (PBE, Alexandria via LeMat-Bulk).

a b c (Å): 4.4037 4.4037 7.0108
angles (deg): 77.86 77.86 46.13
Closest atoms and distances in Å follow each position.
Element x y z (fractional)
As: 0.4768 0.4768 0.5997  3 Mo 2.57-2.66, 2 As 2.81
As: 0.0232 0.0232 0.9003  3 Mo 2.57-2.66, 2 As 2.81
K: 0.2500 0.2500 0.2500  6 As 3.38, 2 K 3.45
Mo: 0.7500 0.7500 0.7500  6 As 2.57-2.66

Summary:
M_tot, μB per cell: 0.010
DFT total energy, eV for the cell shown: -21.39
Calculated density, g cm⁻³: 4.96
Space group: C2/m (12)
Calculated volume, Å³ per atom: 23.9
Polymorph energy (0 for the lowest one), meV/atom: 183

---

# AgSb2PbAu

Crystalline AgSb2PbAu at its relaxed geometry (PBE, Alexandria via LeMat-Bulk).

a b c (Å): 5.3883 5.6087 5.3883
angles (deg): 90.00 90.00 90.00
Closest atoms and distances in Å follow each position.
Element x y z (fractional)
Pb: 0.0000 0.5000 0.0000  2 Au 2.80
Sb: 0.5000 0.0000 0.0000  2 Au 2.69
Au: 0.0000 0.0000 0.0000  4 Sb 2.69, 2 Pb 2.80
Ag: 0.5000 0.5000 0.5000  4 Pb 3.81, 8 Sb 3.89
Sb: 0.0000 0.0000 0.5000  2 Au 2.69

Summary:
M_tot, μB per cell: 0.000
DFT total energy, eV for the cell shown: -15.26
Formation energy (no corrections), meV/atom: 564
Calculated density, g cm⁻³: 7.70
Space group: P4/mmm (123)
Calculated volume, Å³ per atom: 32.6